# PBE-GGA Mg4MoW, optimized geometry
data_Mg4MoW
_symmetry_space_group_name_H-M 'F -4 3 m'
_symmetry_Int_Tables_number 216
_symmetry_space_group_name_Hall 'F -4 2 3'
_cell_length_a 7.4966
_cell_length_b 7.4966
_cell_length_c 7.4966
_cell_angle_alpha 90.00
_cell_angle_beta 90.00
_cell_angle_gamma 90.00
loop_
_atom_site_label
_atom_site_type_symbol
_atom_site_fract_x
_atom_site_fract_y
_atom_site_fract_z
Mg1 Mg 0.1251 0.1251 0.1251
Mo1 Mo 0.2500 0.2500 0.7500
W1 W 0.0000 0.0000 0.5000
# - total energy (eV per atom) = -4.307
# - M_tot (μB per formula unit) = 0.00
# - theoretical density (g/cm3) = 5.94
# - formation enthalpy at 0 K (eV/atom) = 0.72
# - calculated volume (Å³/atom) = 17.6